Material: Yb5Ag3
Method: DFT, PBE
State: relaxed

Geometry as POSCAR:
```
Yb5Ag3
1.0
9.1615 -0.0287 0.0000
2.4471 8.8287 0.0000
-5.8043 -4.4000 5.5573
Yb Ag
10 6
direct
0.1863 0.0198 0.5000
0.3137 0.8137 0.8334
0.4802 0.3137 0.5000
0.5000 0.5000 0.0000
0.0000 0.0000 0.0000
0.8137 0.9802 0.5000
0.9802 0.4802 0.1666
0.0198 0.5198 0.8334
0.5198 0.6863 0.5000
0.6863 0.1863 0.1666
0.8714 0.6286 0.5000
0.6286 0.1286 0.7571
0.2500 0.2500 0.0000
0.7500 0.7500 0.0000
0.3714 0.8714 0.2429
0.1286 0.3714 0.5000
```

=====

Material: YbAg
Method: DFT, PBE
State: relaxed

Geometry as POSCAR:
```
YbAg
1.0
3.6735 0.0000 0.0000
0.0000 3.6735 0.0000
0.0000 0.0000 3.6735
Yb Ag
1 1
direct
0.5000 0.5000 0.5000
0.0000 0.0000 0.0000
```

=====

Material: YbAg
Method: DFT, PBE
State: relaxed

Geometry as POSCAR:
```
YbAg
1.0
-1.7637 -3.9495 -1.7758
2.9398 -3.1691 4.1286
-5.8669 0.5513 4.6009
Yb Ag
4 4
direct
0.7500 0.6368 0.3218
0.7500 0.8632 0.8218
0.2500 0.1368 0.1782
0.2500 0.3632 0.6782
0.2500 0.8618 0.5385
0.7500 0.3618 0.9615
0.7500 0.1382 0.4615
0.2500 0.6382 0.0385
```

=====

Number 1: DFT formation energy -2.77 eV per formula unit. Number 2: DFT formation energy -0.74 eV per formula unit. Number 3: DFT formation energy -0.75 eV per formula unit.